Entry 1:
# Li2CdH2

Li2CdH2 at its PBEsol-relaxed geometry (SCAN, the Alexandria database).

* magnetic moment: 0.0 μB/f.u.
* space group: P4/mbm (127)
* crystal system: tetragonal
* raw total energy: -8.2827 eV/atom
* DOS(E_F): 2.05 states/eV per cell

Cell lengths 6.965, 6.965, 2.679 Å; angles 90.00, 90.00, 90.00 degrees
Positions (direct):
Li 0.114 0.386 0.000
Li 0.386 0.886 0.000
Li 0.614 0.114 0.000
Li 0.886 0.614 0.000
Cd 0.000 0.000 0.000
Cd 0.500 0.500 0.000
H 0.114 0.614 0.500
H 0.386 0.114 0.500
H 0.614 0.886 0.500
H 0.886 0.386 0.500

Entry 2:
# LiCd2H

LiCd2H at its PBEsol-relaxed geometry (SCAN, the Alexandria database).

* magnetic moment: 0.0 μB/f.u.
* space group: I-42d (122)
* crystal system: tetragonal
* raw total energy: -16.5871 eV/atom
* DOS(E_F): 1.84 states/eV per cell

Cell lengths 5.610, 5.610, 5.610 Å; angles 102.21, 102.21, 125.23 degrees
Positions (direct):
Li 0.000 0.000 0.000
Li 0.750 0.250 0.500
Cd 0.206 0.625 0.081
Cd 0.375 0.456 0.581
Cd 0.544 0.125 0.919
Cd 0.875 0.794 0.419
H 0.250 0.750 0.500
H 0.500 0.500 0.000